DFT (PBE+U) results for a relaxed structure of CrNO.

```
CrNO
1.0
2.8430 0.0000 0.0000
-1.4215 2.4622 0.0000
0.0000 0.0000 5.1970
Cr N O
1 1 1
direct
0.0000 0.0000 0.0000
0.6667 0.3333 0.8011
0.6667 0.3333 0.2230
```

Summary:
* polymorph energy (0 for the lowest one): 1.048 eV/atom
* E: -20.5 eV per formula unit
* Fermi-level density of states: 0.34 states/eV/atom